# TlAs3PbS6 | Alexandria | PBE-GGA | optimized geometry
data_TlAs3PbS6
_chemical_formula_sum 'Tl4 As12 Pb4 S24'
_space_group_name_H-M_alt 'P 1'
_space_group_IT_number 1
_space_group_name_Hall 'P 1'
_cell_length_a 6.0927
_cell_length_b 8.4220
_cell_length_c 24.5070
_cell_angle_alpha 87.42
_cell_angle_beta 82.86
_cell_angle_gamma 68.79
loop_
_atom_site_label
_atom_site_type_symbol
_atom_site_fract_x
_atom_site_fract_y
_atom_site_fract_z
S1 S 0.5089 0.7278 0.3359
S2 S 0.0859 0.7837 0.6627
S3 S 0.9735 0.4967 0.5830
As1 As 0.1237 0.8963 0.3338
S4 S 0.1515 0.5600 0.2420
S5 S 0.6197 0.7163 0.1627
S6 S 0.0532 0.5033 0.4170
As2 As 0.1881 0.1948 0.8460
As3 As 0.7700 0.6037 0.8338
S7 S 0.9867 0.7722 0.8359
Tl1 Tl 0.8102 0.4064 0.0657
Pb1 Pb 0.6355 0.4541 0.2542
S8 S 0.9262 0.4119 0.9039
S9 S 0.4824 0.2888 0.5092
Pb2 Pb 0.6397 0.9541 0.2458
S10 S 0.5324 0.2163 0.3373
S11 S 0.7416 0.7888 0.9908
S12 S 0.1436 0.0600 0.2580
S13 S 0.4615 0.9400 0.7420
S14 S 0.5727 0.2722 0.6641
As4 As 0.7841 0.6948 0.6540
As5 As 0.6521 0.0232 0.9328
S15 S 0.5212 0.2112 0.0092
S16 S 0.4986 0.2837 0.8373
As6 As 0.1329 0.3052 0.3460
Pb3 Pb 0.8396 0.0459 0.7542
As7 As 0.6081 0.9768 0.0672
Tl2 Tl 0.6259 0.9064 0.4343
S17 S 0.5801 0.9119 0.5961
Pb4 Pb 0.3437 0.5459 0.7458
Tl3 Tl 0.9666 0.0936 0.5657
Tl4 Tl 0.2824 0.5936 0.9343
S18 S 0.9535 0.4400 0.7580
S19 S 0.0882 0.0881 0.4039
As8 As 0.2289 0.8052 0.1540
S20 S 0.2804 0.7112 0.4908
S21 S 0.2420 0.5881 0.0961
S22 S 0.2202 0.0033 0.0830
As9 As 0.4253 0.4768 0.4328
S23 S 0.3065 0.9967 0.9170
As10 As 0.3538 0.1037 0.6662
As11 As 0.2074 0.3963 0.1662
S24 S 0.5949 0.2278 0.1641
As12 As 0.3349 0.5232 0.5672
# * theoretical density: 4.73 g cm⁻³
# * formation energy (no corrections): -262 meV/atom